# 1
NbCu2NiGe: optimized geometry, PBE.

- E (eV/f.u.) = -21.12
- formation energy (eV/atom) = 1.509
- Fermi-level density of states (states/eV/cell) = 8.83

```
NbCu2NiGe
1.0
-3.441 2.502 -2.019
-2.327 -4.175 -1.208
-2.323 0.110 4.096
Ni Nb Ge Cu
1 1 1 2
Direct
0.500 0.500 0.500 Ni
0.000 0.000 0.000 Nb
0.000 0.500 0.000 Ge
0.000 0.000 0.500 Cu
0.500 0.000 0.000 Cu
```

=====

# 2
InPbBr2: optimized geometry, PBE.

- E (eV/f.u.) = -11.88
- relative energy among the computed polymorphs (meV per atom) = 18.3
- Fermi-level density of states (states/eV/cell) = 1.18

```
InPbBr2
1.0
6.070 0.000 0.000
0.000 3.686 0.188
0.000 3.406 6.281
Pb Br In
1 2 1
Direct
0.500 0.741 0.883 Pb
0.000 0.777 0.844 Br
0.500 0.242 0.381 Br
0.000 0.741 0.391 In
```

=====

# 3
CePr2Ni9: optimized geometry, PBE.

- E (eV/f.u.) = -71.30
- formation energy (eV/atom) = -0.314
- Fermi-level density of states (states/eV/cell) = 14.49

```
CePr2Ni9
1.0
-1.207 2.070 4.397
-4.578 1.906 0.698
-4.593 -6.084 4.456
Ce Pr Ni
1 2 9
Direct
0.000 0.000 0.000 Ce
0.862 0.862 0.414 Pr
0.138 0.138 0.586 Pr
0.667 0.667 0.999 Ni
0.333 0.333 0.001 Ni
0.500 0.500 0.500 Ni
0.420 0.420 0.240 Ni
0.919 0.420 0.240 Ni
0.420 0.919 0.240 Ni
0.580 0.580 0.760 Ni
0.580 0.081 0.760 Ni
0.081 0.580 0.760 Ni
```

=====

# 4
Hf2MoH2: optimized geometry, PBE.

- E (eV/f.u.) = -38.06
- relative energy among the computed polymorphs (meV per atom) = 194.5
- Fermi-level density of states (states/eV/cell) = 3.05

```
Hf2MoH2
1.0
3.230 0.000 0.000
0.000 3.230 0.000
0.000 0.000 6.436
Hf Mo H
2 1 2
Direct
0.500 0.500 0.740 Hf
0.500 0.500 0.260 Hf
0.000 0.000 0.000 Mo
0.500 0.000 0.500 H
0.000 0.500 0.500 H
```

=====

Magnetization: 1.1, 0.0, 0.0, 0.0 (μB/cell)